1.
BeMoPt: single point on PBEsol structure, meta-GGA SCAN.

Output
* DOS at the Fermi energy: 0.3 states/eV/cell
* energy: -110.15 eV/cell
* energy relative to the elements: -0.24 eV per atom

Cell: 4.0338 4.0338 4.0338 Å, 60.00 60.00 60.00°
Fractional positions:
1 Be 0.0000 0.0000 0.0000
2 Mo 0.5000 0.5000 0.5000
3 Pt 0.2500 0.2500 0.2500

2.
CoSbN2: single point on PBEsol structure, meta-GGA SCAN.

Output
* DOS at the Fermi energy: 4.8 states/eV/cell
* energy: -141.10 eV/cell
* raw formation energy: 650 meV/atom

Cell: 4.7990 4.7990 5.6196 Å, 115.28 115.28 90.00°
Fractional positions:
1 Sb 0.2500 0.7500 0.5000
2 Sb 0.0000 0.0000 0.0000
3 Co 0.7500 0.2500 0.5000
4 Co 0.5000 0.5000 0.0000
5 N 0.4501 0.8750 0.2500
6 N 0.7999 0.3750 0.2500
7 N 0.1250 0.2001 0.7500
8 N 0.6250 0.5499 0.7500

3.
SrCdW2: single point on PBEsol structure, meta-GGA SCAN.

Output
* DOS at the Fermi energy: 2.2 states/eV/cell
* energy: -188.16 eV/cell
* energy relative to the elements: 0.98 eV per atom

Cell: 3.3145 5.2770 5.9121 Å, 116.51 106.28 90.00°
Fractional positions:
1 Cd 0.4766 0.4766 0.9531
2 Sr 0.2626 0.7626 0.5252
3 W 0.0426 0.0426 0.0851
4 W 0.7183 0.2183 0.4366

4.
LaTcO2: single point on PBEsol structure, meta-GGA SCAN.

Output
* DOS at the Fermi energy: 3.4 states/eV/cell
* energy: -194.83 eV/cell
* raw formation energy: -1697 meV/atom

Cell: 4.4413 4.4413 6.8579 Å, 108.89 108.89 90.00°
Fractional positions:
1 Tc 0.7500 0.2500 0.5000
2 Tc 0.5000 0.5000 0.0000
3 O 0.7734 0.3750 0.2500
4 O 0.4766 0.8750 0.2500
5 O 0.6250 0.5234 0.7500
6 O 0.1250 0.2266 0.7500
7 La 0.2500 0.7500 0.5000
8 La 0.0000 0.0000 0.0000

5.
La5Zn3: single point on PBEsol structure, meta-GGA SCAN.

Output
* DOS at the Fermi energy: 16.2 states/eV/cell
* energy: -515.88 eV/cell
* energy relative to the elements: -0.23 eV per atom

Cell: 6.6319 8.8649 8.8649 Å, 120.00 90.00 90.00°
Fractional positions:
1 La 0.0000 0.6667 0.3333
2 La 0.5000 0.3333 0.6667
3 La 0.0000 0.3333 0.6667
4 La 0.5000 0.6667 0.3333
5 La 0.7500 0.7598 0.7598
6 La 0.2500 0.2402 0.2402
7 La 0.7500 0.0000 0.2402
8 La 0.7500 0.2402 0.0000
9 La 0.2500 0.7598 0.0000
10 La 0.2500 0.0000 0.7598
11 Zn 0.7500 0.4022 0.4022
12 Zn 0.2500 0.5978 0.5978
13 Zn 0.7500 0.0000 0.5978
14 Zn 0.7500 0.5978 0.0000
15 Zn 0.2500 0.4022 0.0000
16 Zn 0.2500 0.0000 0.4022

6.
Y3BeTl: single point on PBEsol structure, meta-GGA SCAN.

Output
* DOS at the Fermi energy: 7.1 states/eV/cell
* energy: -160.33 eV/cell
* energy relative to the elements: -0.02 eV per atom

Cell: 5.1175 5.1175 5.1175 Å, 90.00 90.00 90.00°
Fractional positions:
1 Y 0.0000 0.5000 0.0000
2 Y 0.0000 0.0000 0.5000
3 Y 0.5000 0.0000 0.0000
4 Be 0.0000 0.0000 0.0000
5 Tl 0.5000 0.5000 0.5000

7.
KLa2Ta: single point on PBEsol structure, meta-GGA SCAN.

Output
* DOS at the Fermi energy: 5.8 states/eV/cell
* energy: -156.92 eV/cell
* energy relative to the elements: 1.05 eV per atom

Cell: 4.7256 4.7256 6.1484 Å, 112.60 112.60 90.00°
Fractional positions:
1 K 0.2500 0.7500 0.5000
2 La 0.0000 0.0000 0.0000
3 La 0.7500 0.2500 0.5000
4 Ta 0.5000 0.5000 0.0000

8.
K3B12H12Br: single point on PBEsol structure, meta-GGA SCAN.

Output
* DOS at the Fermi energy: 0.0 states/eV/cell
* energy: -189.98 eV/cell

Cell: 6.7421 6.7421 6.7421 Å, 93.53 93.53 93.53°
Fractional positions:
1 K 0.5000 0.0000 0.5000
2 K 0.0000 0.5000 0.5000
3 K 0.5000 0.5000 0.0000
4 B 0.9375 0.9375 0.7578
5 B 0.9375 0.7578 0.9375
6 B 0.7578 0.9375 0.9375
7 B 0.2422 0.0625 0.0625
8 B 0.0625 0.0625 0.2422
9 B 0.0625 0.2422 0.0625
10 B 0.1265 0.1265 0.8347
11 B 0.1265 0.8347 0.1265
12 B 0.8347 0.1265 0.1265
13 B 0.1653 0.8735 0.8735
14 B 0.8735 0.8735 0.1653
15 B 0.8735 0.1653 0.8735
16 H 0.1077 0.1077 0.4156
17 H 0.1077 0.4156 0.1077
18 H 0.4156 0.1077 0.1077
19 H 0.5844 0.8923 0.8923
20 H 0.8923 0.8923 0.5844
21 H 0.8923 0.5844 0.8923
22 H 0.2192 0.2192 0.7184
23 H 0.2192 0.7184 0.2192
24 H 0.7184 0.2192 0.2192
25 H 0.2816 0.7808 0.7808
26 H 0.7808 0.7808 0.2816
27 H 0.7808 0.2816 0.7808
28 Br 0.5000 0.5000 0.5000

9.
RbNbAlCr2: single point on PBEsol structure, meta-GGA SCAN.

Output
* DOS at the Fermi energy: 2.4 states/eV/cell
* energy: -89.90 eV/cell
* energy relative to the elements: 1.70 eV per atom

Cell: 4.9641 4.9641 5.6866 Å, 90.00 90.00 90.00°
Fractional positions:
1 Cr 0.0000 0.5000 0.0000
2 Cr 0.5000 0.0000 0.0000
3 Nb 0.5000 0.5000 0.5000
4 Al 0.0000 0.0000 0.0000
5 Rb 0.0000 0.0000 0.5000

10.
HfNbI2: single point on PBEsol structure, meta-GGA SCAN.

Output
* DOS at the Fermi energy: 2.1 states/eV/cell
* energy: -167.34 eV/cell
* raw formation energy: 487 meV/atom

Cell: 4.8918 4.8918 4.8918 Å, 60.00 60.00 60.00°
Fractional positions:
1 I 0.2500 0.2500 0.2500
2 I 0.7500 0.7500 0.7500
3 Nb 0.0000 0.0000 0.0000
4 Hf 0.5000 0.5000 0.5000

11.
Li4Mn3Sn2Sb3O16: single point on PBEsol structure, meta-GGA SCAN.

Output
* DOS at the Fermi energy: 3.3 states/eV/cell
* energy: -398.32 eV/cell
* raw formation energy: -1810 meV/atom

Cell: 6.2040 6.2484 9.8399 Å, 91.23 90.00 119.77°
Fractional positions:
1 Li 0.3432 0.6864 0.1104
2 Li 0.0140 0.0280 0.0168
3 Li 0.0045 0.0090 0.5002
4 Li 0.6759 0.3518 0.5937
5 Mn 0.1674 0.3348 0.7861
6 Mn 0.8257 0.1631 0.2879
7 Mn 0.3375 0.1631 0.2879
8 Sn 0.3207 0.6415 0.5003
9 Sn 0.6600 0.3199 0.0169
10 Sb 0.6603 0.8272 0.7857
11 Sb 0.1669 0.8272 0.7857
12 Sb 0.8281 0.6562 0.2851
13 O 0.6700 0.8169 0.4038
14 O 0.4802 0.9603 0.6590
15 O 0.3396 0.6792 0.8983
16 O 0.9946 0.9893 0.6855
17 O 0.9941 0.9883 0.1996
18 O 0.1469 0.8169 0.4038
19 O 0.4892 0.5280 0.6560
20 O 0.0388 0.5280 0.6560
21 O 0.8362 0.6725 0.8997
22 O 0.1552 0.3103 0.3990
23 O 0.9699 0.5026 0.1556
24 O 0.5327 0.5026 0.1556
25 O 0.6724 0.3448 0.3919
26 O 0.8316 0.1540 0.9046
27 O 0.5232 0.0464 0.1626
28 O 0.3224 0.1540 0.9046

12.
KLaAs: single point on PBEsol structure, meta-GGA SCAN.

Output
* DOS at the Fermi energy: 1.5 states/eV/cell
* energy: -73.93 eV/cell
* energy relative to the elements: -0.77 eV per atom

Cell: 4.4356 4.4356 7.6992 Å, 90.00 90.00 120.00°
Fractional positions:
1 As 0.0000 0.0000 0.0398
2 K 0.6667 0.3333 0.7539
3 La 0.3333 0.6667 0.2062

Number 10 is which compound?
HfNbI2